Below is a relaxed VTcNiP2 crystal, with properties calculated at the PBE level.

Properties
- uncorrected energy (eV per cell) = -75.73
- ΔE to the lowest computed polymorph (meV per atom) = 205.3
- ΔH_f (0 K) (meV per atom) = -356
- total moment (μB/f.u.) = 0.00

Cell and atoms, written as CIF:
```
data_VTcNiP2
_chemical_formula_sum 'V2 Tc2 Ni2 P4'
_symmetry_space_group_name_H-M 'C 1 m 1'
_symmetry_Int_Tables_number 8
_symmetry_space_group_name_Hall 'C -2y'
_cell_length_a 7.1621
_cell_length_b 3.9576
_cell_length_c 5.1599
_cell_angle_alpha 90.00
_cell_angle_beta 90.33
_cell_angle_gamma 90.00
loop_
_atom_site_label
_atom_site_fract_x
_atom_site_fract_y
_atom_site_fract_z
_atom_site_occupancy
V1 0.0000 0.0000 0.0000 1
Tc1 0.3433 0.0000 0.7960 1
Ni1 0.3831 0.5000 0.4442 1
P1 0.1651 0.5000 0.7475 1
P2 0.2978 0.0000 0.2618 1
```